# 1
Here is a PBEsol-optimized structure of LiCa2 from Alexandria via LeMat-Bulk. Energies are from meta-GGA SCAN. Values from VASP.

Values from the calculation:
- Spin magnetization: 0.16 μB/cell
- DOS at the Fermi energy: 2.54 states/eV/f.u.
- Electronic total energy: -7.215 eV per atom

```
&SYSTEM
  ibrav = 0, nat = 6, ntyp = 2
/
ATOMIC_SPECIES
Ca 40.08 Ca.upf
Li 6.94 Li.upf
CELL_PARAMETERS angstrom
-3.1419 1.4205 1.9542
1.5016 -3.1940 4.7360
6.4395 5.9774 1.9894
ATOMIC_POSITIONS angstrom
Ca 2.2055 1.9552 6.1440
Ca 1.9160 -1.3106 4.0332
Ca 2.5937 2.2486 2.5357
Ca 2.8832 5.5145 4.6464
Li 5.2699 3.2964 6.0769
Li -0.4707 0.9074 2.6028
```

---

# 2
Here is a PBEsol-optimized structure of Li3Ca from Alexandria via LeMat-Bulk. Energies are from meta-GGA SCAN. Values from VASP.

Values from the calculation:
- Spin magnetization: 0.16 μB/cell
- DOS at the Fermi energy: 2.28 states/eV/f.u.
- Electronic total energy: -4.170 eV per atom

```
&SYSTEM
  ibrav = 0, nat = 24, ntyp = 2
/
ATOMIC_SPECIES
Ca 40.08 Ca.upf
Li 6.94 Li.upf
CELL_PARAMETERS angstrom
6.7399 0.0000 0.0000
-3.3699 5.8369 0.0000
0.0000 0.0000 15.8359
ATOMIC_POSITIONS angstrom
Ca 0.0000 0.0000 3.9590
Ca 0.0000 0.0000 11.8769
Ca 3.3699 1.9456 9.5313
Ca 3.3699 1.9456 14.2225
Ca 0.0000 3.8913 1.6134
Ca 0.0000 3.8913 6.3046
Li 3.3699 0.2952 3.9590
Li 1.9406 2.7709 3.9590
Li 4.7993 2.7709 3.9590
Li 0.0000 5.5417 11.8769
Li 1.4294 3.0660 11.8769
Li -1.4293 3.0660 11.8769
Li 3.3699 3.8149 1.2181
Li 4.9888 1.0110 1.2181
Li 1.7511 1.0110 1.2181
Li 3.3699 3.8149 6.6999
Li 4.9888 1.0110 6.6999
Li 1.7511 1.0110 6.6999
Li 0.0000 2.0220 14.6178
Li -1.6188 4.8259 14.6178
Li 1.6188 4.8259 14.6178
Li 0.0000 2.0220 9.1360
Li -1.6188 4.8259 9.1360
Li 1.6188 4.8259 9.1360
```

---

# 3
Here is a PBEsol-optimized structure of LiCa2 from Alexandria via LeMat-Bulk. Energies are from meta-GGA SCAN. Values from VASP.

Values from the calculation:
- Spin magnetization: 0.16 μB/cell
- DOS at the Fermi energy: 2.55 states/eV/f.u.
- Electronic total energy: -7.153 eV per atom

```
&SYSTEM
  ibrav = 0, nat = 3, ntyp = 2
/
ATOMIC_SPECIES
Ca 40.08 Ca.upf
Li 6.94 Li.upf
CELL_PARAMETERS angstrom
-3.0470 1.9968 0.9558
0.3705 -3.5549 1.1875
4.0750 2.8061 7.1287
ATOMIC_POSITIONS angstrom
Ca 0.5242 -0.8141 3.3720
Ca 0.8743 2.0620 5.9000
Li 0.0000 0.0000 0.0000
```

---

# 4
Here is a PBEsol-optimized structure of Li2Ca2Mg from Alexandria via LeMat-Bulk. Energies are from meta-GGA SCAN. Values from VASP.

Values from the calculation:
- Spin magnetization: 0.23 μB/cell
- DOS at the Fermi energy: 2.47 states/eV/f.u.
- Electronic total energy: -5.763 eV per atom

```
&SYSTEM
  ibrav = 0, nat = 5, ntyp = 3
/
ATOMIC_SPECIES
Ca 40.08 Ca.upf
Mg 24.30 Mg.upf
Li 6.94 Li.upf
CELL_PARAMETERS angstrom
3.8962 0.0000 0.0000
0.0000 3.8962 0.0000
-1.9481 -1.9481 9.5278
ATOMIC_POSITIONS angstrom
Ca 0.0000 0.0000 7.5710
Ca 1.9481 1.9481 1.9568
Mg 0.0000 0.0000 0.0000
Li 0.0000 1.9481 4.7639
Li 1.9481 0.0000 4.7639
```

---

Results for excess energy over the best structure of this formula in the dataset: 0.0224 0.0000 0.0841 0.0369 (in eV/atom, following the order of the records).